1.
Here is a relaxed structure of AlGeF3 from Alexandria via LeMat-Bulk. Energies are from PBE.

Structure (POSCAR):
```
AlGeF3
1.0
4.434 0.000 0.000
0.000 4.434 0.000
0.000 0.000 4.434
Al Ge F
1 1 3
Direct
0.000 0.000 0.000
0.500 0.500 0.500
0.000 0.500 0.500
0.500 0.000 0.500
0.500 0.500 0.000
```

uncorrected formation energy = -150.73 kJ per mole of atoms
relative energy among the computed polymorphs = 212.5 meV per atom
crystal system = cubic

***

2.
Here is a relaxed structure of CaTaAg2H from Alexandria via LeMat-Bulk. Energies are from PBE.

Structure (POSCAR):
```
CaTaAg2H
1.0
5.633 0.000 0.000
0.000 5.633 0.000
0.000 0.000 5.834
Ca Ta Ag H
1 1 2 1
Direct
0.000 0.000 0.000
0.000 0.000 0.500
0.000 0.500 0.000
0.500 0.000 0.000
0.500 0.500 0.500
```

crystal system = tetragonal

***

3.
Here is a relaxed structure of NpIn4Cl6 from Alexandria via LeMat-Bulk. Energies are from PBE.

Structure (POSCAR):
```
NpIn4Cl6
1.0
8.382 0.000 0.000
0.000 8.382 0.000
0.000 0.000 10.087
Np In Cl
2 8 12
Direct
0.000 0.000 0.000
0.500 0.500 0.500
0.149 0.351 0.250
0.149 0.351 0.750
0.351 0.851 0.250
0.351 0.851 0.750
0.649 0.149 0.250
0.649 0.149 0.750
0.851 0.649 0.250
0.851 0.649 0.750
0.000 0.000 0.275
0.000 0.000 0.725
0.152 0.709 0.000
0.209 0.652 0.500
0.291 0.152 0.000
0.348 0.209 0.500
0.500 0.500 0.225
0.500 0.500 0.775
0.652 0.791 0.500
0.709 0.848 0.000
0.791 0.348 0.500
0.848 0.291 0.000
```

uncorrected formation energy = -91.24 kJ per mole of atoms
crystal system = tetragonal

***

4.
Here is a relaxed structure of Rb3CePa3Te8 from Alexandria via LeMat-Bulk. Energies are from PBE.

Structure (POSCAR):
```
Rb3CePa3Te8
1.0
4.451 2.570 8.840
-4.451 2.570 8.840
0.000 -5.140 8.840
Rb Ce Pa Te
3 1 3 8
Direct
0.000 0.500 0.500
0.500 0.000 0.500
0.500 0.500 0.000
0.500 0.500 0.500
0.000 0.000 0.500
0.000 0.500 0.000
0.500 0.000 0.000
0.225 0.740 0.740
0.235 0.235 0.235
0.260 0.260 0.775
0.260 0.775 0.260
0.740 0.225 0.740
0.740 0.740 0.225
0.765 0.765 0.765
0.775 0.260 0.260
```

uncorrected formation energy = -97.34 kJ per mole of atoms
crystal system = trigonal

***

In the order shown, the computed final energy values come out to -4.36, -2.34, -4.13, -5.17 eV per atom.
In the order shown, the computed DOS at the Fermi energy values come out to 0.000, 0.856, 1.104, 1.834 states/eV/atom.